1.
This record from the Alexandria database describes an optimized crystal structure of YMgPb. The functional is PBEsol. Values from VASP.

Calculated values
As for the space group: P3m1 (156). The magnetic moment comes out at 0.00 μB per cell. As for the raw total energy: -12.9 eV/cell.

Geometry as Quantum ESPRESSO input:
```
&SYSTEM
  ibrav = 0, nat = 3, ntyp = 3
/
ATOMIC_SPECIES
Y 88.91 Y.upf
Mg 24.30 Mg.upf
Pb 207.20 Pb.upf
ATOMIC_POSITIONS crystal
Y 0.000 0.000 0.000
Mg 0.333 0.667 0.653
Pb 0.667 0.333 0.337
CELL_PARAMETERS angstrom
3.448 0.000 0.000
-1.724 2.986 0.000
0.000 0.000 7.946
```



2.
This record from the Alexandria database describes an optimized crystal structure of Y2MgPb. The functional is PBEsol. Values from VASP.

Calculated values
As for the space group: Pmmm (47). The magnetic moment comes out at 0.00 μB per cell. As for the raw total energy: -20.9 eV/cell.

Geometry as Quantum ESPRESSO input:
```
&SYSTEM
  ibrav = 0, nat = 4, ntyp = 3
/
ATOMIC_SPECIES
Y 88.91 Y.upf
Mg 24.30 Mg.upf
Pb 207.20 Pb.upf
ATOMIC_POSITIONS crystal
Y 0.000 0.000 0.249
Y 0.000 0.000 0.751
Mg 0.500 0.500 0.500
Pb 0.500 0.500 0.000
CELL_PARAMETERS angstrom
3.571 0.000 0.000
0.000 4.274 0.000
0.000 0.000 6.909
```



3.
This record from the Alexandria database describes an optimized crystal structure of Y2MgPb2. The functional is PBEsol. Values from VASP.

Calculated values
As for the space group: I4/mmm (139). The magnetic moment comes out at 0.00 μB per cell. As for the raw total energy: -46.8 eV/cell.

Geometry as Quantum ESPRESSO input:
```
&SYSTEM
  ibrav = 0, nat = 10, ntyp = 3
/
ATOMIC_SPECIES
Y 88.91 Y.upf
Mg 24.30 Mg.upf
Pb 207.20 Pb.upf
ATOMIC_POSITIONS crystal
Y 0.000 0.500 0.250
Y 0.000 0.500 0.750
Y 0.500 0.000 0.250
Y 0.500 0.000 0.750
Mg 0.000 0.000 0.000
Mg 0.500 0.500 0.500
Pb 0.000 0.000 0.332
Pb 0.000 0.000 0.668
Pb 0.500 0.500 0.168
Pb 0.500 0.500 0.832
CELL_PARAMETERS angstrom
5.906 0.000 0.000
0.000 5.906 0.000
0.000 0.000 9.394
```



4.
This record from the Alexandria database describes an optimized crystal structure of YMgPb. The functional is PBEsol. Values from VASP.

Calculated values
As for the space group: F-43m (216). The magnetic moment comes out at 0.00 μB per cell. As for the raw total energy: -50.5 eV/cell.

Geometry as Quantum ESPRESSO input:
```
&SYSTEM
  ibrav = 0, nat = 12, ntyp = 3
/
ATOMIC_SPECIES
Y 88.91 Y.upf
Mg 24.30 Mg.upf
Pb 207.20 Pb.upf
ATOMIC_POSITIONS crystal
Y 0.000 0.000 0.000
Y 0.000 0.500 0.500
Y 0.500 0.000 0.500
Y 0.500 0.500 0.000
Mg 0.250 0.250 0.250
Mg 0.250 0.750 0.750
Mg 0.750 0.250 0.750
Mg 0.750 0.750 0.250
Pb 0.000 0.000 0.500
Pb 0.000 0.500 0.000
Pb 0.500 0.000 0.000
Pb 0.500 0.500 0.500
CELL_PARAMETERS angstrom
6.900 0.000 0.000
0.000 6.900 0.000
0.000 0.000 6.900
```



5.
This record from the Alexandria database describes an optimized crystal structure of YMgPb. The functional is PBEsol. Values from VASP.

Calculated values
As for the space group: P-6m2 (187). The magnetic moment comes out at 0.00 μB per cell. As for the raw total energy: -13.6 eV/cell.

Geometry as Quantum ESPRESSO input:
```
&SYSTEM
  ibrav = 0, nat = 3, ntyp = 3
/
ATOMIC_SPECIES
Y 88.91 Y.upf
Mg 24.30 Mg.upf
Pb 207.20 Pb.upf
ATOMIC_POSITIONS crystal
Y 0.000 0.000 0.000
Mg 0.333 0.667 0.500
Pb 0.667 0.333 0.500
CELL_PARAMETERS angstrom
4.903 0.000 0.000
-2.452 4.246 0.000
0.000 0.000 3.635
```



6.
This record from the Alexandria database describes an optimized crystal structure of MgZn3Pb. The functional is PBEsol. Values from VASP.

Calculated values
As for the space group: Pm-3m (221). The magnetic moment comes out at 0.00 μB per cell. As for the raw total energy: -7.4 eV/cell.

Geometry as Quantum ESPRESSO input:
```
&SYSTEM
  ibrav = 0, nat = 5, ntyp = 3
/
ATOMIC_SPECIES
Mg 24.30 Mg.upf
Zn 65.41 Zn.upf
Pb 207.20 Pb.upf
ATOMIC_POSITIONS crystal
Mg 0.000 0.000 0.000
Zn 0.000 0.000 0.500
Zn 0.000 0.500 0.000
Zn 0.500 0.000 0.000
Pb 0.500 0.500 0.500
CELL_PARAMETERS angstrom
4.926 0.000 0.000
0.000 4.926 0.000
0.000 0.000 4.926
```



7.
This record from the Alexandria database describes an optimized crystal structure of MgZnPb. The functional is PBEsol. Values from VASP.

Calculated values
As for the space group: Fmm2 (42). The magnetic moment comes out at 0.00 μB per cell. As for the raw total energy: -28.6 eV/cell.

Geometry as Quantum ESPRESSO input:
```
&SYSTEM
  ibrav = 0, nat = 12, ntyp = 3
/
ATOMIC_SPECIES
Mg 24.30 Mg.upf
Zn 65.41 Zn.upf
Pb 207.20 Pb.upf
ATOMIC_POSITIONS crystal
Mg 0.000 0.000 0.000
Mg 0.000 0.500 0.500
Mg 0.500 0.000 0.500
Mg 0.500 0.500 0.000
Zn 0.000 0.000 0.632
Zn 0.000 0.500 0.132
Zn 0.500 0.000 0.132
Zn 0.500 0.500 0.632
Pb 0.000 0.000 0.304
Pb 0.000 0.500 0.804
Pb 0.500 0.000 0.804
Pb 0.500 0.500 0.304
CELL_PARAMETERS angstrom
4.695 0.000 0.000
0.000 4.708 0.000
0.000 0.000 12.015
```



8.
This record from the Alexandria database describes an optimized crystal structure of MgZrPb. The functional is PBEsol. Values from VASP.

Calculated values
As for the space group: F-43m (216). The magnetic moment comes out at 0.00 μB per cell. As for the raw total energy: -56.0 eV/cell.

Geometry as Quantum ESPRESSO input:
```
&SYSTEM
  ibrav = 0, nat = 12, ntyp = 3
/
ATOMIC_SPECIES
Mg 24.30 Mg.upf
Zr 91.22 Zr.upf
Pb 207.20 Pb.upf
ATOMIC_POSITIONS crystal
Mg 0.000 0.000 0.000
Mg 0.000 0.500 0.500
Mg 0.500 0.000 0.500
Mg 0.500 0.500 0.000
Zr 0.000 0.000 0.500
Zr 0.000 0.500 0.000
Zr 0.500 0.000 0.000
Zr 0.500 0.500 0.500
Pb 0.250 0.250 0.250
Pb 0.250 0.750 0.750
Pb 0.750 0.250 0.750
Pb 0.750 0.750 0.250
CELL_PARAMETERS angstrom
6.764 0.000 0.000
0.000 6.764 0.000
0.000 0.000 6.764
```



9.
This record from the Alexandria database describes an optimized crystal structure of Mg2Pd. The functional is PBEsol. Values from VASP.

Calculated values
As for the space group: I4/mmm (139). The magnetic moment comes out at 0.00 μB per cell. As for the raw total energy: -21.8 eV/cell.

Geometry as Quantum ESPRESSO input:
```
&SYSTEM
  ibrav = 0, nat = 6, ntyp = 2
/
ATOMIC_SPECIES
Mg 24.30 Mg.upf
Pd 106.42 Pd.upf
ATOMIC_POSITIONS crystal
Mg 0.000 0.000 0.147
Mg 0.000 0.000 0.853
Mg 0.500 0.500 0.353
Mg 0.500 0.500 0.647
Pd 0.000 0.000 0.500
Pd 0.500 0.500 0.000
CELL_PARAMETERS angstrom
3.249 0.000 0.000
0.000 3.249 0.000
0.000 0.000 9.971
```



10.
This record from the Alexandria database describes an optimized crystal structure of Mg2Pd. The functional is PBEsol. Values from VASP.

Calculated values
As for the space group: Fd-3m (227). The magnetic moment comes out at 0.00 μB per cell. As for the raw total energy: -87.5 eV/cell.

Geometry as Quantum ESPRESSO input:
```
&SYSTEM
  ibrav = 0, nat = 24, ntyp = 2
/
ATOMIC_SPECIES
Mg 24.30 Mg.upf
Pd 106.42 Pd.upf
ATOMIC_POSITIONS crystal
Mg 0.000 0.000 0.000
Mg 0.000 0.000 0.500
Mg 0.000 0.500 0.000
Mg 0.181 0.181 0.569
Mg 0.181 0.569 0.181
Mg 0.181 0.569 0.569
Mg 0.431 0.431 0.819
Mg 0.431 0.819 0.431
Mg 0.431 0.819 0.819
Mg 0.500 0.000 0.000
Mg 0.569 0.181 0.181
Mg 0.569 0.181 0.569
Mg 0.569 0.569 0.181
Mg 0.819 0.431 0.431
Mg 0.819 0.431 0.819
Mg 0.819 0.819 0.431
Pd 0.146 0.785 0.785
Pd 0.215 0.215 0.215
Pd 0.215 0.215 0.854
Pd 0.215 0.854 0.215
Pd 0.785 0.146 0.785
Pd 0.785 0.785 0.146
Pd 0.785 0.785 0.785
Pd 0.854 0.215 0.215
CELL_PARAMETERS angstrom
0.000 5.991 5.991
5.991 0.000 5.991
5.991 5.991 0.000
```



11.
This record from the Alexandria database describes an optimized crystal structure of MgPd2. The functional is PBEsol. Values from VASP.

Calculated values
As for the space group: Pnma (62). The magnetic moment comes out at 0.00 μB per cell. As for the raw total energy: -61.4 eV/cell.

Geometry as Quantum ESPRESSO input:
```
&SYSTEM
  ibrav = 0, nat = 12, ntyp = 2
/
ATOMIC_SPECIES
Mg 24.30 Mg.upf
Pd 106.42 Pd.upf
ATOMIC_POSITIONS crystal
Mg 0.160 0.250 0.097
Mg 0.340 0.750 0.597
Mg 0.660 0.250 0.403
Mg 0.840 0.750 0.903
Pd 0.080 0.250 0.761
Pd 0.151 0.250 0.426
Pd 0.349 0.750 0.926
Pd 0.420 0.750 0.261
Pd 0.580 0.250 0.739
Pd 0.651 0.250 0.074
Pd 0.849 0.750 0.574
Pd 0.920 0.750 0.239
CELL_PARAMETERS angstrom
5.464 0.000 0.000
0.000 4.082 0.000
0.000 0.000 8.112
```



12.
This record from the Alexandria database describes an optimized crystal structure of PrMgPd. The functional is PBEsol. Values from VASP.

Calculated values
As for the space group: P-62m (189). The magnetic moment comes out at 0.00 μB per cell. As for the raw total energy: -44.1 eV/cell.

Geometry as Quantum ESPRESSO input:
```
&SYSTEM
  ibrav = 0, nat = 9, ntyp = 3
/
ATOMIC_SPECIES
Pr 140.91 Pr.upf
Mg 24.30 Mg.upf
Pd 106.42 Pd.upf
ATOMIC_POSITIONS crystal
Pr 0.000 0.585 0.000
Pr 0.415 0.415 0.000
Pr 0.585 0.000 0.000
Mg 0.000 0.240 0.500
Mg 0.240 0.000 0.500
Mg 0.760 0.760 0.500
Pd 0.000 0.000 0.000
Pd 0.333 0.667 0.500
Pd 0.667 0.333 0.500
CELL_PARAMETERS angstrom
7.591 0.000 0.000
-3.795 6.574 0.000
0.000 0.000 4.079
```